1.
Below is a geometry-optimized URhSe2 structure, with properties calculated at the PBE level.

Lattice parameters (Å, degrees): 4.5432 3.8666 5.9661 71.09 89.71 90.00
Last column: nearest neighbours and their distance in Å.
Positions (direct):
Se  0.5020  0.1906  0.6189  2 Rh 2.64, 2 U 2.80
Rh  0.5003  0.8497  0.3006  4 Se 2.53-2.64, 2 U 2.66
Se  0.0008  0.9489  0.1023  2 Rh 2.53-2.54
U  0.4969  0.5109  0.9782  2 Rh 2.66, 2 Se 2.80

The space group is No. 8. Its density of states at the Fermi level is 6.2 states/eV/cell. For the energy above the most stable polymorph in this dataset, the calculation gives 0.000 eV per atom. Its calculated total energy is -0.521 Ry/atom. As for the calculated density: 8.4 g/cm³.

=====

2.
Below is a geometry-optimized NpZn2Au3 structure, with properties calculated at the PBE level.

Lattice parameters (Å, degrees): 4.5613 4.5613 13.0136 90.00 90.00 120.00
Last column: nearest neighbours and their distance in Å.
Positions (direct):
Au  0.3333  0.6667  0.1284  4 Zn 2.69-2.78
Zn  0.6667  0.3333  0.4147  7 Au 2.69-2.86
Np  0.0000  0.0000  0.7500  8 Au 3.07-3.25, 6 Zn 3.40
Np  0.0000  0.0000  0.2500  8 Au 3.07-3.25, 6 Zn 3.40
Zn  0.6667  0.3333  0.0853  7 Au 2.69-2.86
Au  0.6667  0.3333  0.6284  4 Zn 2.69-2.78
Au  0.0000  0.0000  0.5000  6 Zn 2.86, 6 Au 3.12
Au  0.3333  0.6667  0.3716  4 Zn 2.69-2.78
Zn  0.3333  0.6667  0.9147  7 Au 2.69-2.86
Au  0.0000  0.0000  0.0000  6 Zn 2.86, 6 Au 3.12
Zn  0.3333  0.6667  0.5853  7 Au 2.69-2.86
Au  0.6667  0.3333  0.8716  4 Zn 2.69-2.78

The space group is No. 194. Its density of states at the Fermi level is 27.9 states/eV/cell. The energy of formation comes out at -15.9 kJ per mole of atoms. Its calculated total energy is -0.322 Ry/atom. As for the calculated density: 13.6 g/cm³.

=====

3.
Below is a geometry-optimized Cs2Na2Li structure, with properties calculated at the PBE level.

Lattice parameters (Å, degrees): 9.2941 9.2941 6.8750 90.00 90.00 90.00
Last column: nearest neighbours and their distance in Å.
Positions (direct):
Na  0.3594  0.8594  0.0000  2 Li 3.59, 1 Na 3.70
Li  0.0000  0.0000  0.0000  4 Na 3.59
Na  0.6406  0.1406  0.0000  2 Li 3.59, 1 Na 3.70
Cs  0.8195  0.3195  0.5000  6 Na 4.17-4.57
Cs  0.1805  0.6805  0.5000  6 Na 4.17-4.57
Cs  0.3195  0.1805  0.5000  6 Na 4.17-4.57
Li  0.5000  0.5000  0.0000  4 Na 3.59
Na  0.8594  0.6406  0.0000  2 Li 3.59, 1 Na 3.70
Na  0.1406  0.3594  0.0000  2 Li 3.59, 1 Na 3.70
Cs  0.6805  0.8195  0.5000  6 Na 4.17-4.57

The space group is No. 127. Its density of states at the Fermi level is 6.4 states/eV/cell. For the energy above the most stable polymorph in this dataset, the calculation gives 0.000 eV per atom. The energy of formation comes out at 10.3 kJ per mole of atoms. Its calculated total energy is -0.084 Ry/atom. As for the calculated density: 1.8 g/cm³.